Mn2Se: relaxed, PBE.

a b c (Å): 6.5103 3.4154 7.7646
angles (deg): 90.00 90.00 90.00
Fractional coordinates of all 12 atoms:
1 Mn 0.0409 0.2500 0.1541
2 Mn 0.1367 0.2500 0.5651
3 Mn 0.3633 0.7500 0.0651
4 Mn 0.4591 0.7500 0.6541
5 Mn 0.5409 0.2500 0.3459
6 Mn 0.6367 0.2500 0.9349
7 Mn 0.8633 0.7500 0.4349
8 Mn 0.9591 0.7500 0.8459
9 Se 0.2397 0.7500 0.3607
10 Se 0.2603 0.2500 0.8607
11 Se 0.7397 0.7500 0.1393
12 Se 0.7603 0.2500 0.6393

Output
* formation energy from raw total energies: 44 meV/atom
* electronic total energy: -7.230 eV/atom